1.
DFT (PBE-GGA) results for K2ScOsO after structural relaxation.

abc: 5.408 4.073 5.408
angles: 90.00 90.00 90.00
Last column: magnetic moment on the atom in μB.
Atoms (fractional coordinates):
Os1 0.500 0.500 0.500  1.88
K1 0.500 0.000 0.000  -0.01
K2 0.000 0.000 0.500  -0.01
O1 0.000 0.000 0.000  0.01
Sc1 0.000 0.500 0.000  -0.25

Calculated values
Uncorrected energy (eV per cell): -24.0
Uncorrected formation energy (eV per atom): 0.14
Total magnetization (μB/cell): 1.58
DOS at the Fermi energy (states/eV per cell): 4.60
Density (g cm⁻³): 4.59

=====

2.
DFT (PBE-GGA) results for KSc2OsO8 after structural relaxation.

abc: 5.013 4.473 6.972
angles: 89.97 89.99 90.06
Atoms (fractional coordinates):
O1 0.528 0.734 0.500
O2 0.313 0.258 0.000
O3 0.157 0.763 0.814
O4 0.843 0.237 0.186
O5 0.687 0.742 0.000
O6 0.843 0.237 0.814
O7 0.472 0.266 0.500
O8 0.157 0.763 0.186
Sc1 0.500 0.500 0.241
Sc2 0.500 0.500 0.759
Os1 0.000 0.000 0.000
K1 0.000 0.000 0.500

Calculated values
Uncorrected energy (eV per cell): -87.3
Uncorrected formation energy (eV per atom): -1.88
Total magnetization (μB/cell): 0.00
DOS at the Fermi energy (states/eV per cell): 1.66
Density (g cm⁻³): 4.75

=====

3.
DFT (PBE-GGA) results for K2OsSeO6 after structural relaxation.

abc: 5.341 5.341 6.468
angles: 65.51 65.53 90.00
Last column: magnetic moment on the atom in μB.
Atoms (fractional coordinates):
K1 0.250 0.750 0.500  0.00
K2 0.750 0.250 0.500  0.00
Os1 0.000 0.000 0.000  0.02
O1 0.821 0.682 0.002  0.02
O2 0.176 0.175 0.647  0.04
O3 0.824 0.825 0.353  0.04
O4 0.684 0.178 0.999  0.02
O5 0.316 0.822 0.001  0.02
O6 0.179 0.318 0.998  0.02
Se1 0.500 0.500 0.000  0.11

Calculated values
Uncorrected energy (eV per cell): -57.2
Uncorrected formation energy (eV per atom): -1.06
Total magnetization (μB/cell): 0.42
DOS at the Fermi energy (states/eV per cell): 6.98
Density (g cm⁻³): 4.92

=====

4.
DFT (PBE-GGA) results for KSiOsO6 after structural relaxation.

abc: 4.995 4.995 6.032
angles: 90.00 90.00 60.00
Last column: magnetic moment on the atom in μB.
Atoms (fractional coordinates):
Os1 0.667 0.667 0.500  0.59
O1 0.390 0.015 0.674  0.04
O2 0.595 0.015 0.326  0.04
O3 0.015 0.595 0.674  0.04
O4 0.015 0.390 0.326  0.04
O5 0.390 0.595 0.326  0.04
O6 0.595 0.390 0.674  0.04
Si1 0.333 0.333 0.500  0.02
K1 0.000 0.000 0.000  0.00

Calculated values
Uncorrected energy (eV per cell): -62.3
Uncorrected formation energy (eV per atom): -1.64
Total magnetization (μB/cell): 0.95
DOS at the Fermi energy (states/eV per cell): 1.39
Density (g cm⁻³): 4.50

=====

5.
DFT (PBE-GGA) results for K2SiOsO6 after structural relaxation.

abc: 5.355 5.355 5.354
angles: 60.01 60.01 90.00
Atoms (fractional coordinates):
O1 0.259 0.259 0.000
O2 0.260 0.740 0.000
O3 0.741 0.741 0.518
O4 0.740 0.260 0.000
O5 0.741 0.741 0.000
O6 0.259 0.259 0.482
K1 0.250 0.750 0.500
K2 0.750 0.250 0.500
Os1 0.000 0.000 0.000
Si1 0.500 0.500 0.000

Calculated values
Uncorrected energy (eV per cell): -64.1
Uncorrected formation energy (eV per atom): -1.55
Total magnetization (μB/cell): 0.00
DOS at the Fermi energy (states/eV per cell): 3.96
Density (g cm⁻³): 6.00

=====

6.
DFT (PBE-GGA) results for KSmOs2O8 after structural relaxation.

abc: 6.048 6.048 7.696
angles: 90.00 90.00 120.00
Last column: magnetic moment on the atom in μB.
Atoms (fractional coordinates):
Os1 0.333 0.667 0.774  1.10
Os2 0.667 0.333 0.226  1.10
O1 0.667 0.333 0.996  0.19
O2 0.659 0.826 0.691  0.15
O3 0.826 0.167 0.309  0.15
O4 0.341 0.174 0.309  0.15
O5 0.174 0.833 0.691  0.15
O6 0.333 0.667 0.004  0.19
O7 0.167 0.341 0.691  0.15
O8 0.833 0.659 0.309  0.15
K1 0.000 0.000 0.000  0.00
Sm1 0.000 0.000 0.500  0.08

Calculated values
Uncorrected energy (eV per cell): -86.2
Uncorrected formation energy (eV per atom): -1.52
Total magnetization (μB/cell): 4.03
DOS at the Fermi energy (states/eV per cell): 2.18
Density (g cm⁻³): 4.75

=====

7.
DFT (PBE-GGA) results for KSm2OsO8 after structural relaxation.

abc: 5.313 4.228 7.274
angles: 74.66 89.68 89.27
Last column: magnetic moment on the atom in μB.
Atoms (fractional coordinates):
O1 0.495 0.175 0.502  0.00
O2 0.967 0.346 0.771  0.09
O3 0.222 0.795 0.871  0.02
O4 0.695 0.816 0.912  0.03
O5 0.033 0.654 0.229  0.09
O6 0.305 0.184 0.088  0.03
O7 0.505 0.825 0.498  0.00
O8 0.778 0.205 0.129  0.02
Sm1 0.513 0.382 0.787  0.01
Sm2 0.487 0.618 0.213  0.01
Os1 0.000 0.000 0.000  0.60
K1 0.000 0.000 0.500  0.00

Calculated values
Uncorrected energy (eV per cell): -85.0
Uncorrected formation energy (eV per atom): -1.96
Total magnetization (μB/cell): 1.00
DOS at the Fermi energy (states/eV per cell): 2.71
Density (g cm⁻³): 6.94

=====

8.
DFT (PBE-GGA) results for K2SmOsO6 after structural relaxation.

abc: 5.967 5.966 8.437
angles: 90.00 90.00 90.00
Atoms (fractional coordinates):
O1 0.726 0.475 0.500
O2 0.000 0.750 0.774
O3 0.000 0.750 0.226
O4 0.725 0.024 0.500
O5 0.226 0.525 0.000
O6 0.500 0.250 0.726
O7 0.274 0.475 0.500
O8 0.774 0.525 0.000
O9 0.775 0.976 0.000
O10 0.275 0.024 0.500
O11 0.225 0.976 0.000
O12 0.500 0.250 0.274
K1 0.500 0.750 0.750
K2 0.000 0.250 0.250
K3 0.000 0.250 0.750
K4 0.500 0.750 0.250
Os1 0.000 0.750 0.000
Os2 0.500 0.250 0.500
Sm1 0.000 0.750 0.500
Sm2 0.500 0.250 0.000

Calculated values
Uncorrected energy (eV per cell): -133.8
Uncorrected formation energy (eV per atom): -1.90
Total magnetization (μB/cell): 0.00
DOS at the Fermi energy (states/eV per cell): 8.06
Density (g cm⁻³): 5.69

=====

9.
DFT (PBE-GGA) results for K3Sm3OsO8 after structural relaxation.

abc: 6.940 6.940 7.453
angles: 117.75 90.00 120.00
Last column: magnetic moment on the atom in μB.
Atoms (fractional coordinates):
K1 0.500 0.500 0.000  0.00
K2 0.000 0.500 0.000  0.00
K3 0.000 0.000 0.000  0.00
Sm1 0.000 0.500 0.500  0.00
Sm2 0.500 0.000 0.500  0.00
Sm3 0.500 0.500 0.500  0.00
Os1 0.000 0.000 0.500  1.45
O1 0.730 0.460 0.690  0.00
O2 0.208 0.416 0.674  0.07
O3 0.208 0.966 0.674  0.07
O4 0.792 0.584 0.326  0.07
O5 0.270 0.540 0.310  0.00
O6 0.758 0.966 0.674  0.07
O7 0.242 0.034 0.326  0.07
O8 0.792 0.034 0.326  0.07

Calculated values
Uncorrected energy (eV per cell): -102.2
Uncorrected formation energy (eV per atom): -2.26
Total magnetization (μB/cell): 2.00
DOS at the Fermi energy (states/eV per cell): 5.28
Density (g cm⁻³): 5.62

=====

10.
DFT (PBE-GGA) results for K3SmOs2O9 after structural relaxation.

abc: 5.777 5.777 7.203
angles: 90.00 90.00 120.00
Atoms (fractional coordinates):
Os1 0.333 0.667 0.150
Os2 0.667 0.333 0.850
K1 0.333 0.667 0.667
K2 0.000 0.000 0.000
K3 0.667 0.333 0.333
O1 0.000 0.500 0.000
O2 0.820 0.640 0.696
O3 0.500 0.500 0.000
O4 0.180 0.820 0.304
O5 0.500 0.000 0.000
O6 0.820 0.180 0.696
O7 0.360 0.180 0.696
O8 0.640 0.820 0.304
O9 0.180 0.360 0.304
Sm1 0.000 0.000 0.500

Calculated values
Uncorrected energy (eV per cell): -100.6
Uncorrected formation energy (eV per atom): -1.70
Total magnetization (μB/cell): 0.00
DOS at the Fermi energy (states/eV per cell): 3.45
Density (g cm⁻³): 6.32

=====

11.
DFT (PBE-GGA) results for KSnOs2O8 after structural relaxation.

abc: 6.148 6.148 7.419
angles: 65.52 65.52 60.00
Last column: magnetic moment on the atom in μB.
Atoms (fractional coordinates):
O1 0.414 0.924 0.248  0.07
O2 0.076 0.586 0.752  0.07
O3 0.586 0.076 0.752  0.07
O4 0.863 0.863 0.411  0.20
O5 0.586 0.586 0.752  0.07
O6 0.414 0.414 0.248  0.07
O7 0.137 0.137 0.589  0.20
O8 0.924 0.414 0.248  0.07
Os1 0.228 0.228 0.315  0.74
Os2 0.772 0.772 0.685  0.74
K1 0.000 0.000 0.000  0.00
Sn1 0.500 0.500 0.500  0.06

Calculated values
Uncorrected energy (eV per cell): -79.9
Uncorrected formation energy (eV per atom): -1.06
Total magnetization (μB/cell): 2.71
DOS at the Fermi energy (states/eV per cell): 6.72
Density (g cm⁻³): 5.19

=====

12.
DFT (PBE-GGA) results for KSn2OsO8 after structural relaxation.

abc: 5.008 4.819 6.671
angles: 89.97 89.98 88.43
Last column: magnetic moment on the atom in μB.
Atoms (fractional coordinates):
O1 0.825 0.218 0.192  0.07
O2 0.175 0.782 0.192  0.07
O3 0.623 0.722 0.500  0.01
O4 0.377 0.278 0.500  0.01
O5 0.175 0.782 0.808  0.07
O6 0.310 0.274 0.000  -0.01
O7 0.825 0.218 0.808  0.07
O8 0.690 0.726 0.000  -0.01
Os1 0.000 0.000 0.000  0.54
Sn1 0.500 0.500 0.744  0.01
Sn2 0.500 0.500 0.256  0.01
K1 0.000 0.000 0.500  0.00

Calculated values
Uncorrected energy (eV per cell): -73.8
Uncorrected formation energy (eV per atom): -1.15
Total magnetization (μB/cell): 0.95
DOS at the Fermi energy (states/eV per cell): 5.59
Density (g cm⁻³): 6.14